Density functional theory data (PBE) for HoScFe after structural relaxation.

DFT total energy (eV per cell): -155.4
DFT formation energy (eV/atom): -0.0197

The structure in CIF format:
```
data_HoScFe
_chemical_formula_sum 'Ho8 Sc8 Fe8'
_cell_length_a 6.3831
_cell_length_b 11.7483
_cell_length_c 7.0332
_cell_angle_alpha 90.00
_cell_angle_beta 90.00
_cell_angle_gamma 90.00
_symmetry_space_group_name_H-M 'C m c e'
_symmetry_Int_Tables_number 64
_symmetry_space_group_name_Hall '-C 2ac 2'
loop_
_atom_site_label
_atom_site_type_symbol
_atom_site_fract_x
_atom_site_fract_y
_atom_site_fract_z
_atom_site_occupancy
Ho1 Ho 0.0000 0.1955 0.1115 1
Sc1 Sc 0.2500 0.0417 0.7500 1
Fe1 Fe 0.0000 0.0919 0.4595 1
```